[1]
# LiHoCuRh GGA-PBE optimized geometry
data_LiHoCuRh
_chemical_formula_sum 'Li1 Ho1 Cu1 Rh1'
_cell_length_a 4.5943
_cell_length_b 4.5943
_cell_length_c 4.5943
_cell_angle_alpha 60.00
_cell_angle_beta 60.00
_cell_angle_gamma 60.00
_symmetry_space_group_name_H-M 'P 1'
_symmetry_Int_Tables_number 1
_symmetry_space_group_name_Hall 'P 1'
loop_
_atom_site_label
_atom_site_type_symbol
_atom_site_fract_x
_atom_site_fract_y
_atom_site_fract_z
_atom_site_occupancy
Rh1 Rh 0.7500 0.7500 0.7500 1
Li1 Li 0.5000 0.5000 0.5000 1
Cu1 Cu 0.2500 0.2500 0.2500 1
Ho1 Ho 0.0000 0.0000 0.0000 1
# total magnetic moment	0.00	μB per formula unit
# total DFT energy (no corrections)	-4.813	eV/atom
# energy relative to the elements	-31.7	kJ per mole of atoms
# DOS at the Fermi energy	1.009	states/eV/cell

***

[2]
# LiHo4CuRu2 GGA-PBE optimized geometry
data_LiHo4CuRu2
_chemical_formula_sum 'Li1 Ho4 Cu1 Ru2'
_cell_length_a 4.8570
_cell_length_b 4.8570
_cell_length_c 8.4254
_cell_angle_alpha 73.25
_cell_angle_beta 73.25
_cell_angle_gamma 60.00
_symmetry_space_group_name_H-M 'P 1'
_symmetry_Int_Tables_number 1
_symmetry_space_group_name_Hall 'P 1'
loop_
_atom_site_label
_atom_site_type_symbol
_atom_site_fract_x
_atom_site_fract_y
_atom_site_fract_z
_atom_site_occupancy
Ho1 Ho 0.1264 0.1264 0.6208 1
Ho2 Ho 0.6236 0.6236 0.1293 1
Ho3 Ho 0.3764 0.3764 0.8707 1
Ho4 Ho 0.8736 0.8736 0.3792 1
Ru1 Ru 0.2505 0.2505 0.2485 1
Ru2 Ru 0.7495 0.7495 0.7515 1
Cu1 Cu 0.5000 0.5000 0.5000 1
Li1 Li 0.0000 0.0000 0.0000 1
# total magnetic moment	0.00	μB per formula unit
# total DFT energy (no corrections)	-5.694	eV/atom
# energy relative to the elements	-32.3	kJ per mole of atoms
# DOS at the Fermi energy	5.113	states/eV/cell

***

[3]
# LiHoCuRu GGA-PBE optimized geometry
data_LiHoCuRu
_chemical_formula_sum 'Li1 Ho1 Cu1 Ru1'
_cell_length_a 4.5445
_cell_length_b 4.5445
_cell_length_c 4.5445
_cell_angle_alpha 60.00
_cell_angle_beta 60.00
_cell_angle_gamma 60.00
_symmetry_space_group_name_H-M 'P 1'
_symmetry_Int_Tables_number 1
_symmetry_space_group_name_Hall 'P 1'
loop_
_atom_site_label
_atom_site_type_symbol
_atom_site_fract_x
_atom_site_fract_y
_atom_site_fract_z
_atom_site_occupancy
Cu1 Cu 0.0000 0.0000 0.0000 1
Ho1 Ho 0.5000 0.5000 0.5000 1
Ru1 Ru 0.2500 0.2500 0.2500 1
Li1 Li 0.7500 0.7500 0.7500 1
# total magnetic moment	0.00	μB per formula unit
# total DFT energy (no corrections)	-4.934	eV/atom
# energy relative to the elements	3.0	kJ per mole of atoms
# DOS at the Fermi energy	2.664	states/eV/cell

***

[4]
# LiHo2CuS4 GGA-PBE optimized geometry
data_LiHo2CuS4
_chemical_formula_sum 'Li1 Ho2 Cu1 S4'
_cell_length_a 3.8573
_cell_length_b 6.7977
_cell_length_c 6.4873
_cell_angle_alpha 112.99
_cell_angle_beta 90.00
_cell_angle_gamma 90.00
_symmetry_space_group_name_H-M 'P 1'
_symmetry_Int_Tables_number 1
_symmetry_space_group_name_Hall 'P 1'
loop_
_atom_site_label
_atom_site_type_symbol
_atom_site_fract_x
_atom_site_fract_y
_atom_site_fract_z
_atom_site_occupancy
Ho1 Ho 0.0000 0.5000 0.5000 1
Ho2 Ho 0.5000 0.0000 0.5000 1
Cu1 Cu 0.0000 0.0000 0.0000 1
S1 S 0.5000 0.7661 0.7630 1
S2 S 0.5000 0.2339 0.2370 1
S3 S 0.0000 0.2621 0.7526 1
S4 S 0.0000 0.7379 0.2474 1
Li1 Li 0.5000 0.5000 0.0000 1
# total magnetic moment	0.00	μB per formula unit
# total DFT energy (no corrections)	-5.488	eV/atom
# formation energy without anion corrections	-1528.7	meV/atom

***

[5]
# LiHo2CuSe4 GGA-PBE optimized geometry
data_LiHo2CuSe4
_chemical_formula_sum 'Li1 Ho2 Cu1 Se4'
_cell_length_a 4.0242
_cell_length_b 7.0410
_cell_length_c 6.7985
_cell_angle_alpha 111.90
_cell_angle_beta 90.00
_cell_angle_gamma 90.00
_symmetry_space_group_name_H-M 'P 1'
_symmetry_Int_Tables_number 1
_symmetry_space_group_name_Hall 'P 1'
loop_
_atom_site_label
_atom_site_type_symbol
_atom_site_fract_x
_atom_site_fract_y
_atom_site_fract_z
_atom_site_occupancy
Li1 Li 0.5000 0.5000 0.0000 1
Se1 Se 0.5000 0.7640 0.7653 1
Se2 Se 0.0000 0.2587 0.7563 1
Se3 Se 0.5000 0.2360 0.2347 1
Se4 Se 0.0000 0.7413 0.2437 1
Cu1 Cu 0.0000 0.0000 0.0000 1
Ho1 Ho 0.5000 0.0000 0.5000 1
Ho2 Ho 0.0000 0.5000 0.5000 1
# total magnetic moment	0.00	μB per formula unit
# total DFT energy (no corrections)	-5.013	eV/atom
# formation energy without anion corrections	-1374.8	meV/atom

***

[6]
# LiHoCuSi GGA-PBE optimized geometry
data_LiHoCuSi
_chemical_formula_sum 'Li1 Ho1 Cu1 Si1'
_cell_length_a 4.6403
_cell_length_b 4.6403
_cell_length_c 4.6403
_cell_angle_alpha 60.00
_cell_angle_beta 60.00
_cell_angle_gamma 60.00
_symmetry_space_group_name_H-M 'P 1'
_symmetry_Int_Tables_number 1
_symmetry_space_group_name_Hall 'P 1'
loop_
_atom_site_label
_atom_site_type_symbol
_atom_site_fract_x
_atom_site_fract_y
_atom_site_fract_z
_atom_site_occupancy
Li1 Li 0.5000 0.5000 0.5000 1
Cu1 Cu 0.2500 0.2500 0.2500 1
Ho1 Ho 0.0000 0.0000 0.0000 1
Si1 Si 0.7500 0.7500 0.7500 1
# total magnetic moment	0.00	μB per formula unit
# total DFT energy (no corrections)	-4.306	eV/atom
# formation energy without anion corrections	-303.1	meV/atom
# DOS at the Fermi energy	1.942	states/eV/cell

***

[7]
# LiHoCuSi2 GGA-PBE optimized geometry
data_LiHoCuSi2
_chemical_formula_sum 'Li1 Ho1 Cu1 Si2'
_cell_length_a 3.9583
_cell_length_b 3.9583
_cell_length_c 5.8582
_cell_angle_alpha 109.75
_cell_angle_beta 109.75
_cell_angle_gamma 90.00
_symmetry_space_group_name_H-M 'P 1'
_symmetry_Int_Tables_number 1
_symmetry_space_group_name_Hall 'P 1'
loop_
_atom_site_label
_atom_site_type_symbol
_atom_site_fract_x
_atom_site_fract_y
_atom_site_fract_z
_atom_site_occupancy
Li1 Li 0.7500 0.2500 0.5000 1
Si1 Si 0.3863 0.3863 0.7727 1
Si2 Si 0.6137 0.6137 0.2273 1
Ho1 Ho 0.0000 0.0000 0.0000 1
Cu1 Cu 0.2500 0.7500 0.5000 1
# total magnetic moment	0.00	μB per formula unit
# total DFT energy (no corrections)	-4.833	eV/atom
# formation energy without anion corrections	-546.0	meV/atom
# DOS at the Fermi energy	1.360	states/eV/cell

***

[8]
# Li3Ho2Cu12Si GGA-PBE optimized geometry
data_Li3Ho2Cu12Si
_chemical_formula_sum 'Li3 Ho2 Cu12 Si1'
_cell_length_a 12.0398
_cell_length_b 12.0398
_cell_length_c 12.0398
_cell_angle_alpha 25.01
_cell_angle_beta 25.01
_cell_angle_gamma 25.01
_symmetry_space_group_name_H-M 'P 1'
_symmetry_Int_Tables_number 1
_symmetry_space_group_name_Hall 'P 1'
loop_
_atom_site_label
_atom_site_type_symbol
_atom_site_fract_x
_atom_site_fract_y
_atom_site_fract_z
_atom_site_occupancy
Li1 Li 0.5000 0.0000 0.0000 1
Li2 Li 0.0000 0.0000 0.5000 1
Li3 Li 0.0000 0.5000 0.0000 1
Ho1 Ho 0.6452 0.6452 0.6452 1
Ho2 Ho 0.3548 0.3548 0.3548 1
Si1 Si 0.0000 0.0000 0.0000 1
Cu1 Cu 0.6025 0.6025 0.1234 1
Cu2 Cu 0.8766 0.3975 0.3975 1
Cu3 Cu 0.3975 0.3975 0.8766 1
Cu4 Cu 0.3870 0.8888 0.8888 1
Cu5 Cu 0.6130 0.1112 0.1112 1
Cu6 Cu 0.8888 0.3870 0.8888 1
Cu7 Cu 0.1112 0.6130 0.1112 1
Cu8 Cu 0.1112 0.1112 0.6130 1
Cu9 Cu 0.6025 0.1234 0.6025 1
Cu10 Cu 0.3975 0.8766 0.3975 1
Cu11 Cu 0.1234 0.6025 0.6025 1
Cu12 Cu 0.8888 0.8888 0.3870 1
# total magnetic moment	0.00	μB per formula unit
# total DFT energy (no corrections)	-3.841	eV/atom
# formation energy without anion corrections	18.6	meV/atom
# DOS at the Fermi energy	9.118	states/eV/cell

***

[9]
# LiSmHoCu GGA-PBE optimized geometry
data_LiSmHoCu
_chemical_formula_sum 'Li1 Sm1 Ho1 Cu1'
_cell_length_a 5.0666
_cell_length_b 5.0666
_cell_length_c 5.0666
_cell_angle_alpha 60.00
_cell_angle_beta 60.00
_cell_angle_gamma 60.00
_symmetry_space_group_name_H-M 'P 1'
_symmetry_Int_Tables_number 1
_symmetry_space_group_name_Hall 'P 1'
loop_
_atom_site_label
_atom_site_type_symbol
_atom_site_fract_x
_atom_site_fract_y
_atom_site_fract_z
_atom_site_occupancy
Li1 Li 0.7500 0.7500 0.7500 1
Cu1 Cu 0.2500 0.2500 0.2500 1
Sm1 Sm 0.5000 0.5000 0.5000 1
Ho1 Ho 0.0000 0.0000 0.0000 1
# total magnetic moment	0.00	μB per formula unit
# total DFT energy (no corrections)	-3.844	eV/atom
# energy relative to the elements	-1.7	kJ per mole of atoms
# DOS at the Fermi energy	4.335	states/eV/cell

***

[10]
# LiHoCuSn GGA-PBE optimized geometry
data_LiHoCuSn
_chemical_formula_sum 'Li1 Ho1 Cu1 Sn1'
_cell_length_a 4.7037
_cell_length_b 4.7037
_cell_length_c 4.7037
_cell_angle_alpha 60.00
_cell_angle_beta 60.00
_cell_angle_gamma 60.00
_symmetry_space_group_name_H-M 'P 1'
_symmetry_Int_Tables_number 1
_symmetry_space_group_name_Hall 'P 1'
loop_
_atom_site_label
_atom_site_type_symbol
_atom_site_fract_x
_atom_site_fract_y
_atom_site_fract_z
_atom_site_occupancy
Sn1 Sn 0.2500 0.2500 0.2500 1
Li1 Li 0.0000 0.0000 0.0000 1
Cu1 Cu 0.5000 0.5000 0.5000 1
Ho1 Ho 0.7500 0.7500 0.7500 1
# total magnetic moment	0.00	μB per formula unit
# total DFT energy (no corrections)	-4.046	eV/atom
# energy relative to the elements	-38.4	kJ per mole of atoms
# DOS at the Fermi energy	1.712	states/eV/cell

***

[11]
# LiTbHoCu GGA-PBE optimized geometry
data_LiTbHoCu
_chemical_formula_sum 'Li1 Tb1 Ho1 Cu1'
_cell_length_a 5.0206
_cell_length_b 5.0206
_cell_length_c 5.0206
_cell_angle_alpha 60.00
_cell_angle_beta 60.00
_cell_angle_gamma 60.00
_symmetry_space_group_name_H-M 'P 1'
_symmetry_Int_Tables_number 1
_symmetry_space_group_name_Hall 'P 1'
loop_
_atom_site_label
_atom_site_type_symbol
_atom_site_fract_x
_atom_site_fract_y
_atom_site_fract_z
_atom_site_occupancy
Li1 Li 0.2500 0.2500 0.2500 1
Cu1 Cu 0.7500 0.7500 0.7500 1
Tb1 Tb 0.0000 0.0000 0.0000 1
Ho1 Ho 0.5000 0.5000 0.5000 1
# total magnetic moment	0.00	μB per formula unit
# total DFT energy (no corrections)	-3.840	eV/atom
# energy relative to the elements	-3.4	kJ per mole of atoms
# DOS at the Fermi energy	3.938	states/eV/cell

***

[12]
# LiHoZnCu GGA-PBE optimized geometry
data_LiHoZnCu
_chemical_formula_sum 'Li1 Ho1 Zn1 Cu1'
_cell_length_a 4.5962
_cell_length_b 4.5962
_cell_length_c 4.5962
_cell_angle_alpha 60.00
_cell_angle_beta 60.00
_cell_angle_gamma 60.00
_symmetry_space_group_name_H-M 'P 1'
_symmetry_Int_Tables_number 1
_symmetry_space_group_name_Hall 'P 1'
loop_
_atom_site_label
_atom_site_type_symbol
_atom_site_fract_x
_atom_site_fract_y
_atom_site_fract_z
_atom_site_occupancy
Ho1 Ho 0.5000 0.5000 0.5000 1
Zn1 Zn 0.0000 0.0000 0.0000 1
Cu1 Cu 0.2500 0.2500 0.2500 1
Li1 Li 0.7500 0.7500 0.7500 1
# total magnetic moment	0.01	μB per formula unit
# total DFT energy (no corrections)	-3.114	eV/atom
# energy relative to the elements	-14.3	kJ per mole of atoms
# DOS at the Fermi energy	5.960	states/eV/cell

***

[13]
# LiHo2Zn3Cu12 GGA-PBE optimized geometry
data_LiHo2Zn3Cu12
_chemical_formula_sum 'Li1 Ho2 Zn3 Cu12'
_cell_length_a 9.3280
_cell_length_b 9.3280
_cell_length_c 9.3280
_cell_angle_alpha 39.03
_cell_angle_beta 39.03
_cell_angle_gamma 39.03
_symmetry_space_group_name_H-M 'P 1'
_symmetry_Int_Tables_number 1
_symmetry_space_group_name_Hall 'P 1'
loop_
_atom_site_label
_atom_site_type_symbol
_atom_site_fract_x
_atom_site_fract_y
_atom_site_fract_z
_atom_site_occupancy
Cu1 Cu 0.5786 0.1925 0.5786 1
Cu2 Cu 0.9222 0.9222 0.3592 1
Cu3 Cu 0.3592 0.9222 0.9222 1
Cu4 Cu 0.0778 0.6408 0.0778 1
Cu5 Cu 0.9222 0.3592 0.9222 1
Cu6 Cu 0.5786 0.5786 0.1925 1
Cu7 Cu 0.8075 0.4214 0.4214 1
Cu8 Cu 0.4214 0.4214 0.8075 1
Cu9 Cu 0.0778 0.0778 0.6408 1
Cu10 Cu 0.4214 0.8075 0.4214 1
Cu11 Cu 0.1925 0.5786 0.5786 1
Cu12 Cu 0.6408 0.0778 0.0778 1
Zn1 Zn 0.5000 0.0000 0.0000 1
Zn2 Zn 0.0000 0.5000 0.0000 1
Zn3 Zn 0.0000 0.0000 0.5000 1
Ho1 Ho 0.6500 0.6500 0.6500 1
Ho2 Ho 0.3500 0.3500 0.3500 1
Li1 Li 0.0000 0.0000 0.0000 1
# total magnetic moment	0.00	μB per formula unit
# total DFT energy (no corrections)	-3.414	eV/atom
# energy relative to the elements	13.9	kJ per mole of atoms
# DOS at the Fermi energy	7.771	states/eV/cell